Entry 1:
# Np2Ni2Ge3

An optimized crystal structure of Np2Ni2Ge3 (PBE, the Alexandria database).

CIF file:
```
data_Np2Ni2Ge3
_cell_length_a 9.085
_cell_length_b 9.085
_cell_length_c 6.601
_cell_angle_alpha 90.00
_cell_angle_beta 90.00
_cell_angle_gamma 152.87
_space_group_name_H-M_alt 'P 1'
_space_group_IT_number 1
loop_
_space_group_symop_operation_xyz
'x,y,z'
loop_
_atom_site_label
_atom_site_type_symbol
_atom_site_fract_x
_atom_site_fract_y
_atom_site_fract_z
_atom_site_occupancy
Np1 Np 0.045 0.955 0.750 1
Np2 Np 0.158 0.842 0.250 1
Np3 Np 0.842 0.158 0.750 1
Np4 Np 0.955 0.045 0.250 1
Ni1 Ni 0.299 0.701 0.053 1
Ni2 Ni 0.299 0.701 0.447 1
Ni3 Ni 0.701 0.299 0.553 1
Ni4 Ni 0.701 0.299 0.947 1
Ge1 Ge 0.217 0.783 0.750 1
Ge2 Ge 0.431 0.569 0.555 1
Ge3 Ge 0.431 0.569 0.945 1
Ge4 Ge 0.569 0.431 0.055 1
Ge5 Ge 0.569 0.431 0.445 1
Ge6 Ge 0.783 0.217 0.250 1
```

Summary:
Electronic total energy: -7.609 eV per atom
M_tot: 1.078 μB per atom



Entry 2:
# NaCa2PbO4

An optimized crystal structure of NaCa2PbO4 (PBE, the Alexandria database).

CIF file:
```
data_NaCa2PbO4
_cell_length_a 5.886
_cell_length_b 3.499
_cell_length_c 5.933
_cell_angle_alpha 90.00
_cell_angle_beta 107.83
_cell_angle_gamma 90.00
_space_group_name_H-M_alt 'P 1'
_space_group_IT_number 1
loop_
_space_group_symop_operation_xyz
'x,y,z'
loop_
_atom_site_label
_atom_site_type_symbol
_atom_site_fract_x
_atom_site_fract_y
_atom_site_fract_z
_atom_site_occupancy
Na1 Na 0.000 0.000 0.000 1
Ca1 Ca 0.500 0.000 0.500 1
Ca2 Ca 0.500 0.500 0.000 1
Pb1 Pb 0.000 0.500 0.500 1
O1 O 0.261 0.000 0.754 1
O2 O 0.264 0.500 0.268 1
O3 O 0.736 0.500 0.732 1
O4 O 0.739 0.000 0.246 1
```

Summary:
ΔE_f (raw): -2.028 eV per atom
Electronic total energy: -5.636 eV per atom
M_tot: 0.045 μB per atom



Entry 3:
# VMoPt2Pb

An optimized crystal structure of VMoPt2Pb (PBE, the Alexandria database).

CIF file:
```
data_VMoPt2Pb
_cell_length_a 4.957
_cell_length_b 4.957
_cell_length_c 4.987
_cell_angle_alpha 90.00
_cell_angle_beta 90.00
_cell_angle_gamma 90.00
_space_group_name_H-M_alt 'P 1'
_space_group_IT_number 1
loop_
_space_group_symop_operation_xyz
'x,y,z'
loop_
_atom_site_label
_atom_site_type_symbol
_atom_site_fract_x
_atom_site_fract_y
_atom_site_fract_z
_atom_site_occupancy
V1 V 0.000 0.000 0.000 1
Mo1 Mo 0.500 0.500 0.000 1
Pt1 Pt 0.000 0.500 0.500 1
Pt2 Pt 0.500 0.000 0.500 1
Pb1 Pb 0.000 0.000 0.500 1
```

Summary:
Electronic total energy: -5.200 eV per atom
M_tot: 0.934 μB per atom



Entry 4:
# NiIBr3

An optimized crystal structure of NiIBr3 (PBE, the Alexandria database).

CIF file:
```
data_NiIBr3
_cell_length_a 5.782
_cell_length_b 5.782
_cell_length_c 5.782
_cell_angle_alpha 90.00
_cell_angle_beta 90.00
_cell_angle_gamma 90.00
_space_group_name_H-M_alt 'P 1'
_space_group_IT_number 1
loop_
_space_group_symop_operation_xyz
'x,y,z'
loop_
_atom_site_label
_atom_site_type_symbol
_atom_site_fract_x
_atom_site_fract_y
_atom_site_fract_z
_atom_site_occupancy
Ni1 Ni 0.000 0.000 0.000 1
I1 I 0.500 0.500 0.500 1
Br1 Br 0.000 0.500 0.500 1
Br2 Br 0.500 0.000 0.500 1
Br3 Br 0.500 0.500 0.000 1
```

Summary:
Relative energy among the computed polymorphs: 93.2 kJ/mol of atoms
ΔE_f (raw): 0.816 eV per atom
Electronic total energy: -1.654 eV per atom
M_tot: 0.218 μB per atom



Entry 5:
# Sr2ZrNi

An optimized crystal structure of Sr2ZrNi (PBE, the Alexandria database).

CIF file:
```
data_Sr2ZrNi
_cell_length_a 6.735
_cell_length_b 6.735
_cell_length_c 6.735
_cell_angle_alpha 148.62
_cell_angle_beta 129.26
_cell_angle_gamma 60.89
_space_group_name_H-M_alt 'P 1'
_space_group_IT_number 1
loop_
_space_group_symop_operation_xyz
'x,y,z'
loop_
_atom_site_label
_atom_site_type_symbol
_atom_site_fract_x
_atom_site_fract_y
_atom_site_fract_z
_atom_site_occupancy
Sr1 Sr 0.000 0.000 0.000 1
Sr2 Sr 0.693 0.193 0.500 1
Zr1 Zr 0.321 0.821 0.500 1
Ni1 Ni 0.466 0.466 0.000 1
```

Summary:
Relative energy among the computed polymorphs: 13.1 kJ/mol of atoms
Electronic total energy: -4.192 eV per atom
M_tot: 0.000 μB per atom



Entry 6:
# PuNp2Tl3Se6

An optimized crystal structure of PuNp2Tl3Se6 (PBE, the Alexandria database).

CIF file:
```
data_PuNp2Tl3Se6
_cell_length_a 7.320
_cell_length_b 7.320
_cell_length_c 8.113
_cell_angle_alpha 98.65
_cell_angle_beta 98.65
_cell_angle_gamma 120.00
_space_group_name_H-M_alt 'P 1'
_space_group_IT_number 1
loop_
_space_group_symop_operation_xyz
'x,y,z'
loop_
_atom_site_label
_atom_site_type_symbol
_atom_site_fract_x
_atom_site_fract_y
_atom_site_fract_z
_atom_site_occupancy
Pu1 Pu 0.000 0.000 0.000 1
Np1 Np 0.333 0.667 0.000 1
Np2 Np 0.667 0.333 0.000 1
Tl1 Tl 0.166 0.834 0.500 1
Tl2 Tl 0.500 0.500 0.500 1
Tl3 Tl 0.834 0.166 0.500 1
Se1 Se 0.068 0.405 0.203 1
Se2 Se 0.270 0.270 0.798 1
Se3 Se 0.405 0.068 0.203 1
Se4 Se 0.595 0.932 0.797 1
Se5 Se 0.730 0.730 0.202 1
Se6 Se 0.932 0.595 0.797 1
```

Summary:
ΔE_f (raw): -0.984 eV per atom
Electronic total energy: -6.669 eV per atom
M_tot: 1.083 μB per atom



| no. | density of states at the Fermi level (states/eV/cell) |
| --- | --- |
| 1 | 31.5 |
| 2 | 3.9 |
| 3 | 11.1 |
| 4 | 36.3 |
| 5 | 5.3 |
| 6 | 31.7 |